First-principles (PBE-GGA) data for crystalline HgPBr2 at its relaxed geometry, as listed in Alexandria.

a b c (Å): 3.445 3.445 8.564
angles (deg): 90.00 90.00 90.00
Fractional positions:
Hg1 0.000 0.000 0.000
P1 0.500 0.500 0.206
Br1 0.000 0.000 0.399
Br2 0.500 0.500 0.790

Output
The calculation puts the distance to the lowest polymorph of the same formula at 0.648 eV per atom. For the size of the total moment, the calculation gives 0.000 μB per cell. As for the crystal system: tetragonal. The formation energy from raw total energies comes out at 0.420 eV per atom.